Run A
This record from Alexandria via LeMat-Bulk describes a relaxed structure of La5Au3. The functional is PBE.

Properties
Its space-group type is No. 65. The volume comes out at 457 Å³ per cell.

abc: 7.9000 10.7532 5.3830
angles: 90.00 90.00 90.00
Closest atoms and distances in Å follow each position.
Fractional positions:
La 0.0000 0.0000 0.0000  8 La 3.34-3.53, 4 Au 3.52
La 0.2100 0.5000 0.5000  6 Au 3.16-3.52, 3 La 3.32-3.53
La 0.2500 0.2500 0.0000  2 La 3.34, 6 Au 3.34-3.36
La 0.2500 0.7500 0.0000  2 La 3.34, 6 Au 3.34-3.36
La 0.2900 0.0000 0.5000  6 Au 3.16-3.52, 3 La 3.32-3.53
La 0.5000 0.5000 0.0000  8 La 3.34-3.53, 4 Au 3.52
La 0.7100 0.0000 0.5000  6 Au 3.16-3.52, 3 La 3.32-3.53
La 0.7500 0.2500 0.0000  2 La 3.34, 6 Au 3.34-3.36
La 0.7500 0.7500 0.0000  2 La 3.34, 6 Au 3.34-3.36
La 0.7900 0.5000 0.5000  6 Au 3.16-3.52, 3 La 3.32-3.53
Au 0.0000 0.2113 0.5000  10 La 3.23-3.52
Au 0.0000 0.5000 0.0000  8 La 3.16-3.34
Au 0.0000 0.7887 0.5000  10 La 3.23-3.52
Au 0.5000 0.0000 0.0000  8 La 3.16-3.34
Au 0.5000 0.2887 0.5000  10 La 3.23-3.52
Au 0.5000 0.7113 0.5000  10 La 3.23-3.52


Run B
This record from Alexandria via LeMat-Bulk describes a relaxed structure of La5Au3. The functional is PBE.

Properties
Its space-group type is No. 140. The volume comes out at 474 Å³ per cell.

abc: 9.0778 9.0778 9.0778
angles: 97.69 97.69 137.08
Closest atoms and distances in Å follow each position.
Fractional positions:
La 0.0849 0.7875 0.8725  4 Au 3.12-3.30, 1 La 3.42
La 0.2125 0.0849 0.2974  4 Au 3.12-3.30, 1 La 3.42
La 0.2500 0.7500 0.5000  4 Au 3.16, 2 La 3.32
La 0.2875 0.5849 0.8725  4 Au 3.12-3.30, 1 La 3.42
La 0.4151 0.2875 0.7026  4 Au 3.12-3.30, 1 La 3.42
La 0.5849 0.7125 0.2974  4 Au 3.12-3.30, 1 La 3.42
La 0.7125 0.4151 0.1275  4 Au 3.12-3.30, 1 La 3.42
La 0.7500 0.2500 0.5000  4 Au 3.16, 2 La 3.32
La 0.7875 0.9151 0.7026  4 Au 3.12-3.30, 1 La 3.42
La 0.9151 0.2125 0.1275  4 Au 3.12-3.30, 1 La 3.42
Au 0.1592 0.3408 0.5000  6 La 3.12-3.30
Au 0.2500 0.2500 0.0000  8 La 3.20, 2 Au 3.32
Au 0.3408 0.8408 0.1816  6 La 3.12-3.30
Au 0.6592 0.1592 0.8184  6 La 3.12-3.30
Au 0.7500 0.7500 0.0000  8 La 3.20, 2 Au 3.32
Au 0.8408 0.6592 0.5000  6 La 3.12-3.30


Run C
This record from Alexandria via LeMat-Bulk describes a relaxed structure of La5Au3. The functional is PBE.

Properties
Its space-group type is No. 12. The volume comes out at 482 Å³ per cell.

abc: 9.3331 9.3331 8.5360
angles: 95.15 95.15 137.95
Closest atoms and distances in Å follow each position.
Fractional positions:
La 0.0332 0.6567 0.8009  5 Au 3.18-3.53, 1 La 3.51
La 0.1895 0.3965 0.6335  5 Au 3.15-3.25
La 0.2552 0.2552 0.0362  3 Au 2.98-3.27, 1 La 3.32
La 0.3433 0.9668 0.1991  5 Au 3.18-3.53, 1 La 3.51
La 0.3965 0.1895 0.6335  5 Au 3.15-3.25
La 0.6035 0.8105 0.3665  5 Au 3.15-3.25
La 0.6567 0.0332 0.8009  5 Au 3.18-3.53, 1 La 3.51
La 0.7448 0.7448 0.9638  3 Au 2.98-3.27, 1 La 3.32
La 0.8105 0.6035 0.3665  5 Au 3.15-3.25
La 0.9668 0.3433 0.1991  5 Au 3.18-3.53, 1 La 3.51
Au 0.0958 0.0958 0.3325  5 La 2.98-3.24
Au 0.2501 0.7499 0.5000  8 La 3.18-3.25, 2 Au 3.35
Au 0.3414 0.6586 0.0000  8 La 3.19-3.27
Au 0.6586 0.3414 0.0000  8 La 3.19-3.27
Au 0.7499 0.2501 0.5000  8 La 3.18-3.25, 2 Au 3.35
Au 0.9042 0.9042 0.6675  5 La 2.98-3.24


Run D
This record from Alexandria via LeMat-Bulk describes a relaxed structure of La5Au3. The functional is PBE.

Properties
Its space-group type is No. 193. The volume comes out at 485 Å³ per cell.

abc: 8.9202 8.9202 7.0339
angles: 90.00 90.00 120.00
Closest atoms and distances in Å follow each position.
Fractional positions:
La 0.0000 0.2433 0.2500  3 Au 3.09-3.21
La 0.0000 0.7567 0.7500  3 Au 3.09-3.21
La 0.2433 0.0000 0.2500  3 Au 3.09-3.21
La 0.2433 0.2433 0.7500  3 Au 3.09-3.21
La 0.3333 0.6667 0.0000  6 Au 3.25, 2 La 3.52
La 0.3333 0.6667 0.5000  6 Au 3.25, 2 La 3.52
La 0.6667 0.3333 0.0000  6 Au 3.25, 2 La 3.52
La 0.6667 0.3333 0.5000  6 Au 3.25, 2 La 3.52
La 0.7567 0.0000 0.7500  3 Au 3.09-3.21
La 0.7567 0.7567 0.2500  3 Au 3.09-3.21
Au 0.0000 0.3964 0.7500  7 La 3.09-3.25
Au 0.0000 0.6036 0.2500  7 La 3.09-3.25
Au 0.3964 0.0000 0.7500  7 La 3.09-3.25
Au 0.3964 0.3964 0.2500  7 La 3.09-3.25
Au 0.6036 0.0000 0.2500  7 La 3.09-3.25
Au 0.6036 0.6036 0.7500  7 La 3.09-3.25


Which one is most stable, and which one is least stable? run D is the most stable of them, while run A is the least stable.


Run A
This record from Alexandria via LeMat-Bulk describes a relaxed structure of La5Au4. The functional is PBE.

Properties
Its space-group type is No. 139. The volume comes out at 239 Å³ per cell.

abc: 7.2112 7.2112 7.2112
angles: 97.79 97.79 136.79
Closest atoms and distances in Å follow each position.
Fractional positions:
La 0.0000 0.0000 0.0000  4 Au 3.23, 8 La 3.52
La 0.3280 0.3280 0.6561  2 Au 3.11, 4 La 3.26-3.38
La 0.3280 0.6720 0.0000  2 Au 3.11, 4 La 3.26-3.38
La 0.6720 0.3280 0.0000  2 Au 3.11, 4 La 3.26-3.38
La 0.6720 0.6720 0.3439  2 Au 3.11, 4 La 3.26-3.38
Au 0.0000 0.3409 0.3409  1 Au 3.02, 3 La 3.11-3.23
Au 0.0000 0.6591 0.6591  1 Au 3.02, 3 La 3.11-3.23
Au 0.3409 0.0000 0.3409  1 Au 3.02, 3 La 3.11-3.23
Au 0.6591 0.0000 0.6591  1 Au 3.02, 3 La 3.11-3.23


Run B
This record from Alexandria via LeMat-Bulk describes a relaxed structure of La5Au4. The functional is PBE.

Properties
Its space-group type is No. 193. The volume comes out at 527 Å³ per cell.

abc: 9.0570 9.0570 7.4235
angles: 90.00 90.00 120.00
Closest atoms and distances in Å follow each position.
Fractional positions:
La 0.0000 0.2687 0.2500  5 Au 3.06-3.15
La 0.0000 0.7313 0.7500  5 Au 3.06-3.15
La 0.2687 0.0000 0.2500  5 Au 3.06-3.15
La 0.2687 0.2687 0.7500  5 Au 3.06-3.15
La 0.3333 0.6667 0.0000  6 Au 3.35, 2 La 3.71
La 0.3333 0.6667 0.5000  6 Au 3.35, 2 La 3.71
La 0.6667 0.3333 0.0000  6 Au 3.35, 2 La 3.71
La 0.6667 0.3333 0.5000  6 Au 3.35, 2 La 3.71
La 0.7313 0.0000 0.7500  5 Au 3.06-3.15
La 0.7313 0.7313 0.2500  5 Au 3.06-3.15
Au 0.0000 0.0000 0.0000  6 La 3.06
Au 0.0000 0.0000 0.5000  6 La 3.06
Au 0.0000 0.3930 0.7500  7 La 3.06-3.35
Au 0.0000 0.6070 0.2500  7 La 3.06-3.35
Au 0.3930 0.0000 0.7500  7 La 3.06-3.35
Au 0.3930 0.3930 0.2500  7 La 3.06-3.35
Au 0.6070 0.0000 0.2500  7 La 3.06-3.35
Au 0.6070 0.6070 0.7500  7 La 3.06-3.35


Which one is most stable, and which one is least stable? run B is the most stable of them, while run A is the least stable.


Run A
This record from Alexandria via LeMat-Bulk describes a relaxed structure of La4Au3. The functional is PBE.

Properties
Its space-group type is No. 166. The volume comes out at 212 Å³ per cell.

abc: 9.3583 9.3583 9.3583
angles: 32.62 32.62 32.62
Closest atoms and distances in Å follow each position.
Fractional positions:
La 0.1238 0.1238 0.1238  5 Au 3.12-3.29
La 0.3744 0.3744 0.3744  7 Au 3.22-3.53
La 0.6256 0.6256 0.6256  7 Au 3.22-3.53
La 0.8762 0.8762 0.8762  5 Au 3.12-3.29
Au 0.0000 0.0000 0.0000  8 La 3.22-3.29
Au 0.2414 0.2414 0.2414  7 La 3.12-3.32
Au 0.7586 0.7586 0.7586  7 La 3.12-3.32


Run B
This record from Alexandria via LeMat-Bulk describes a relaxed structure of La4Au3. The functional is PBE.

Properties
Its space-group type is No. 139. The volume comes out at 399 Å³ per cell.

abc: 3.9944 3.9944 25.0332
angles: 90.00 90.00 90.00
Closest atoms and distances in Å follow each position.
Fractional positions:
La 0.0000 0.0000 0.0682  5 Au 3.30-3.59, 5 La 3.42-3.67
La 0.0000 0.0000 0.3382  5 Au 3.09-3.17
La 0.0000 0.0000 0.6618  5 Au 3.09-3.17
La 0.0000 0.0000 0.9318  5 Au 3.30-3.59, 5 La 3.42-3.67
La 0.5000 0.5000 0.1618  5 Au 3.09-3.17
La 0.5000 0.5000 0.4318  5 Au 3.30-3.59, 5 La 3.42-3.67
La 0.5000 0.5000 0.5682  5 Au 3.30-3.59, 5 La 3.42-3.67
La 0.5000 0.5000 0.8382  5 Au 3.09-3.17
Au 0.0000 0.0000 0.2117  5 La 3.09-3.17, 4 Au 3.41
Au 0.0000 0.0000 0.5000  8 La 3.30
Au 0.0000 0.0000 0.7883  5 La 3.09-3.17, 4 Au 3.41
Au 0.5000 0.5000 0.0000  8 La 3.30
Au 0.5000 0.5000 0.2883  5 La 3.09-3.17, 4 Au 3.41
Au 0.5000 0.5000 0.7117  5 La 3.09-3.17, 4 Au 3.41


Which one is most stable, and which one is least stable? run A is the most stable of them, while run B is the least stable.


Run A
This record from Alexandria via LeMat-Bulk describes a relaxed structure of LaAu12. The functional is PBE.

Properties
Its space-group type is No. 225. The volume comes out at 373 Å³ per cell.

abc: 8.0770 8.0770 8.0770
angles: 60.00 60.00 60.00
Closest atoms and distances in Å follow each position.
Fractional positions:
La 0.0000 0.0000 0.0000  24 Au 4.24
Au 0.1607 0.5000 0.5000  5 Au 2.60-2.74
Au 0.1607 0.5000 0.8393  5 Au 2.60-2.74
Au 0.1607 0.8393 0.5000  5 Au 2.60-2.74
Au 0.5000 0.1607 0.5000  5 Au 2.60-2.74
Au 0.5000 0.1607 0.8393  5 Au 2.60-2.74
Au 0.5000 0.5000 0.1607  5 Au 2.60-2.74
Au 0.5000 0.5000 0.8393  5 Au 2.60-2.74
Au 0.5000 0.8393 0.1607  5 Au 2.60-2.74
Au 0.5000 0.8393 0.5000  5 Au 2.60-2.74
Au 0.8393 0.1607 0.5000  5 Au 2.60-2.74
Au 0.8393 0.5000 0.1607  5 Au 2.60-2.74
Au 0.8393 0.5000 0.5000  5 Au 2.60-2.74


Run B
This record from Alexandria via LeMat-Bulk describes a relaxed structure of LaAu12. The functional is PBE.

Properties
Its space-group type is No. 139. The volume comes out at 259 Å³ per cell.

abc: 7.3015 7.3015 7.3015
angles: 98.95 98.95 133.54
Closest atoms and distances in Å follow each position.
Fractional positions:
La 0.0000 0.0000 0.0000  20 Au 3.28-3.65
Au 0.0000 0.0000 0.5000  10 Au 2.79-2.92
Au 0.0000 0.3456 0.3456  9 Au 2.92-3.13
Au 0.0000 0.5000 0.0000  10 Au 2.79-2.92
Au 0.0000 0.6544 0.6544  9 Au 2.92-3.13
Au 0.2841 0.5000 0.7841  8 Au 2.79-3.07
Au 0.3456 0.0000 0.3456  9 Au 2.92-3.13
Au 0.5000 0.0000 0.0000  10 Au 2.79-2.92
Au 0.5000 0.2841 0.7841  8 Au 2.79-3.07
Au 0.5000 0.5000 0.5000  10 Au 2.79-2.92
Au 0.5000 0.7159 0.2159  8 Au 2.79-3.07
Au 0.6544 0.0000 0.6544  9 Au 2.92-3.13
Au 0.7159 0.5000 0.2159  8 Au 2.79-3.07


Which one is most stable, and which one is least stable? run B is the most stable of them, while run A is the least stable.